1.
The following is a PBE calculation of a relaxed structure of AlCuBAu, from OQMD via LeMat-Bulk.

a = 4.2436 Å, b = 4.2436 Å, c = 4.2436 Å
α = 60.00°, β = 60.00°, γ = 60.00°
Closest atoms and distances in Å follow each position.
Fractional coordinates of all 4 atoms:
Al 0.0000 0.0000 0.0000  4 Au 2.60, 4 B 2.60
Cu 0.5000 0.5000 0.5000  4 Au 2.60, 4 B 2.60
B 0.2500 0.2500 0.2500  4 Cu 2.60, 4 Al 2.60
Au 0.7500 0.7500 0.7500  4 Cu 2.60, 4 Al 2.60

## Properties
- Space-group type: F-43m (216)
- E: -3.7985 eV per atom
- Excess energy over the best structure of this formula in the dataset: 0.003 eV per atom



2.
The following is a PBE calculation of a relaxed structure of TaH4, from OQMD via LeMat-Bulk.

a = 5.6973 Å, b = 5.6973 Å, c = 5.6973 Å
α = 35.37°, β = 35.37°, γ = 35.37°
Closest atoms and distances in Å follow each position.
Fractional coordinates of all 10 atoms:
Ta 0.0000 0.0000 0.0000  12 H 1.99
Ta 0.5000 0.5000 0.5000  12 H 1.98-2.00
H 0.0503 0.5668 0.5668  4 H 1.67-1.79
H 0.1652 0.1652 0.1652  6 H 1.96-2.00, 3 Ta 2.00
H 0.4332 0.4332 0.9497  4 H 1.67-1.79
H 0.4332 0.9497 0.4332  4 H 1.67-1.79
H 0.5668 0.0503 0.5668  4 H 1.67-1.79
H 0.5668 0.5668 0.0503  4 H 1.67-1.79
H 0.8348 0.8348 0.8348  6 H 1.96-2.00, 3 Ta 2.00
H 0.9497 0.4332 0.4332  4 H 1.67-1.79

## Properties
- Total magnetic moment: 0.000 μB/atom
- Space-group type: R-3m (166)
- E: -4.9045 eV per atom
- Excess energy over the best structure of this formula in the dataset: 0.152 eV per atom



3.
The following is a PBE calculation of a relaxed structure of TbSiPO, from OQMD via LeMat-Bulk.

a = 3.8324 Å, b = 5.8017 Å, c = 5.9055 Å
α = 90.00°, β = 90.00°, γ = 90.00°
Closest atoms and distances in Å follow each position.
Fractional coordinates of all 8 atoms:
Tb 0.0000 0.2321 0.0000  2 O 2.32-2.33
Tb 0.0000 0.7679 0.5000  2 O 2.32-2.33
Si 0.5000 0.3610 0.4079  2 O 1.94
Si 0.5000 0.6390 0.9079  2 O 1.94
P 0.5000 0.0808 0.6840  1 Si 2.30
P 0.5000 0.9192 0.1840  1 Si 2.30
O 0.0000 0.3934 0.3614  2 Si 1.94
O 0.0000 0.6066 0.8614  2 Si 1.94

## Properties
- Total magnetic moment: 0.000 μB/atom
- Space-group type: Pmc2_1 (26)
- E: -6.4714 eV per atom
- Excess energy over the best structure of this formula in the dataset: 0.147 eV per atom



4.
The following is a PBE calculation of a relaxed structure of Dy2Tl, from OQMD via LeMat-Bulk.

a = 9.3112 Å, b = 9.3112 Å, c = 9.3112 Å
α = 60.00°, β = 60.00°, γ = 60.00°
Closest atoms and distances in Å follow each position.
Fractional coordinates of all 6 atoms:
Dy 0.0000 0.0000 0.0000  2 Tl 2.85
Dy 0.0000 0.0000 0.5000  2 Tl 2.85
Dy 0.0000 0.5000 0.0000  2 Tl 2.85
Dy 0.5000 0.0000 0.0000  2 Tl 2.85
Tl 0.1250 0.1250 0.1250  4 Dy 2.85
Tl 0.8750 0.8750 0.8750  4 Dy 2.85

## Properties
- Total magnetic moment: 0.003 μB/atom
- Space-group type: Fd-3m (227)
- E: -2.3944 eV per atom



5.
The following is a PBE calculation of a relaxed structure of PmAgTe, from OQMD via LeMat-Bulk.

a = 4.9491 Å, b = 4.9491 Å, c = 4.9491 Å
α = 60.00°, β = 60.00°, γ = 60.00°
Closest atoms and distances in Å follow each position.
Fractional coordinates of all 3 atoms:
Pm 0.0000 0.0000 0.0000  4 Ag 3.03
Ag 0.2500 0.2500 0.2500  4 Te 3.03, 4 Pm 3.03
Te 0.5000 0.5000 0.5000  4 Ag 3.03

## Properties
- Total magnetic moment: 0.001 μB/atom
- Space-group type: F-43m (216)
- E: -4.0168 eV per atom
- Excess energy over the best structure of this formula in the dataset: 0.156 eV per atom



6.
The following is a PBE calculation of a relaxed structure of SmLuTl, from OQMD via LeMat-Bulk.

a = 5.1649 Å, b = 5.1649 Å, c = 5.1649 Å
α = 60.00°, β = 60.00°, γ = 60.00°
Closest atoms and distances in Å follow each position.
Fractional coordinates of all 3 atoms:
Sm 0.0000 0.0000 0.0000  4 Tl 3.16
Lu 0.5000 0.5000 0.5000  4 Tl 3.16
Tl 0.7500 0.7500 0.7500  4 Sm 3.16, 4 Lu 3.16

## Properties
- Total magnetic moment: 0.009 μB/atom
- Space-group type: F-43m (216)
- E: -3.8918 eV per atom
- Excess energy over the best structure of this formula in the dataset: 0.000 eV per atom



7.
The following is a PBE calculation of a relaxed structure of Er2CoSi2, from OQMD via LeMat-Bulk.

a = 5.5431 Å, b = 5.5431 Å, c = 9.9087 Å
α = 116.66°, β = 116.66°, γ = 43.61°
Closest atoms and distances in Å follow each position.
Fractional coordinates of all 10 atoms:
Er 0.0014 0.0014 0.3285  6 Si 2.86-3.05, 4 Co 2.93-3.07
Er 0.1871 0.1871 0.1083  6 Si 2.83-3.07
Er 0.8129 0.8129 0.8917  6 Si 2.83-3.07
Er 0.9986 0.9986 0.6715  6 Si 2.86-3.05, 4 Co 2.93-3.07
Co 0.2734 0.2734 0.6267  4 Si 2.35-2.48
Co 0.7266 0.7266 0.3733  4 Si 2.35-2.48
Si 0.3512 0.3512 0.4346  3 Co 2.35-2.40
Si 0.4922 0.4922 0.1242  1 Co 2.48, 1 Si 2.54
Si 0.5078 0.5078 0.8758  1 Co 2.48, 1 Si 2.54
Si 0.6488 0.6488 0.5654  3 Co 2.35-2.40

## Properties
- Total magnetic moment: 0.006 μB/atom
- Space-group type: C2/m (12)
- E: -6.1986 eV per atom



8.
The following is a PBE calculation of a relaxed structure of ScU2Pd2, from OQMD via LeMat-Bulk.

a = 4.8322 Å, b = 4.8322 Å, c = 10.7880 Å
α = 90.00°, β = 90.00°, γ = 120.00°
Closest atoms and distances in Å follow each position.
Fractional coordinates of all 10 atoms:
Sc 0.0000 0.0000 0.2500  6 U 3.08, 6 Pd 3.09
Sc 0.0000 0.0000 0.7500  6 U 3.08, 6 Pd 3.09
U 0.3333 0.6667 0.1290  1 U 2.61, 4 Pd 2.76-2.79
U 0.3333 0.6667 0.3710  1 U 2.61, 4 Pd 2.76-2.79
U 0.6667 0.3333 0.6290  1 U 2.61, 4 Pd 2.76-2.79
U 0.6667 0.3333 0.8710  1 U 2.61, 4 Pd 2.76-2.79
Pd 0.3333 0.6667 0.6272  1 Pd 2.65, 4 U 2.76-2.79
Pd 0.3333 0.6667 0.8728  1 Pd 2.65, 4 U 2.76-2.79
Pd 0.6667 0.3333 0.1272  1 Pd 2.65, 4 U 2.76-2.79
Pd 0.6667 0.3333 0.3728  1 Pd 2.65, 4 U 2.76-2.79

## Properties
- Total magnetic moment: 0.903 μB/atom
- Space-group type: P6_3/mmc (194)
- E: -7.6774 eV per atom
- ΔH_f (0 K): 0.18 eV per atom



9.
The following is a PBE calculation of a relaxed structure of NpScB, from OQMD via LeMat-Bulk.

a = 4.2882 Å, b = 4.2882 Å, c = 4.2882 Å
α = 60.00°, β = 60.00°, γ = 60.00°
Closest atoms and distances in Å follow each position.
Fractional coordinates of all 3 atoms:
Np 0.0000 0.0000 0.0000  4 B 2.63
Sc 0.5000 0.5000 0.5000  4 B 2.63
B 0.2500 0.2500 0.2500  4 Sc 2.63, 4 Np 2.63

## Properties
- Total magnetic moment: 1.635 μB/atom
- Space-group type: F-43m (216)
- E: -8.2768 eV per atom
- Excess energy over the best structure of this formula in the dataset: 0.000 eV per atom



10.
The following is a PBE calculation of a relaxed structure of Nd2GaSiI2, from OQMD via LeMat-Bulk.

a = 4.1984 Å, b = 4.1984 Å, c = 12.6318 Å
α = 90.00°, β = 90.00°, γ = 120.00°
Closest atoms and distances in Å follow each position.
Fractional coordinates of all 6 atoms:
Nd 0.0000 0.0000 0.0000  3 Ga 3.08, 3 I 3.22, 3 Si 3.31
Nd 0.0000 0.0000 0.3298  3 Si 3.09, 3 I 3.21, 3 Ga 3.32
Ga 0.3333 0.6667 0.1498  3 Si 2.45
Si 0.6667 0.3333 0.1783  3 Ga 2.45
I 0.3333 0.6667 0.4966  3 Nd 3.21
I 0.6667 0.3333 0.8327  3 Nd 3.22

## Properties
- Total magnetic moment: 0.001 μB/atom
- Space-group type: P3m1 (156)
- E: -4.5889 eV per atom



11.
The following is a PBE calculation of a relaxed structure of NdHoCu2, from OQMD via LeMat-Bulk.

a = 4.4877 Å, b = 5.4254 Å, c = 7.1517 Å
α = 90.00°, β = 90.00°, γ = 90.00°
Closest atoms and distances in Å follow each position.
Fractional coordinates of all 8 atoms:
Nd 0.0000 0.1187 0.0000  7 Cu 2.90-3.05
Nd 0.0000 0.8813 0.5000  7 Cu 2.90-3.05
Ho 0.5000 0.3849 0.6389  7 Cu 2.84-3.02
Ho 0.5000 0.6151 0.1389  7 Cu 2.84-3.02
Cu 0.0000 0.3804 0.3554  2 Cu 2.66, 3 Nd 2.90-2.91
Cu 0.0000 0.6196 0.8554  2 Cu 2.66, 3 Nd 2.90-2.91
Cu 0.5000 0.1307 0.2893  2 Cu 2.66, 2 Ho 2.84-2.85
Cu 0.5000 0.8693 0.7893  2 Cu 2.66, 2 Ho 2.84-2.85

## Properties
- Total magnetic moment: 0.001 μB/atom
- Space-group type: Pmc2_1 (26)
- E: -4.4089 eV per atom
- Excess energy over the best structure of this formula in the dataset: 0.012 eV per atom
- ΔH_f (0 K): -0.22 eV per atom



12.
The following is a PBE calculation of a relaxed structure of Cu2Ag3, from OQMD via LeMat-Bulk.

a = 2.8706 Å, b = 3.6128 Å, c = 15.0511 Å
α = 90.00°, β = 90.00°, γ = 90.00°
Closest atoms and distances in Å follow each position.
Fractional coordinates of all 10 atoms:
Cu 0.2500 0.2500 0.1530  6 Cu 2.61-2.87, 5 Ag 2.67-2.73
Cu 0.2500 0.2500 0.7664  6 Cu 2.61-2.87, 5 Ag 2.67-2.73
Cu 0.7500 0.7500 0.2336  6 Cu 2.61-2.87, 5 Ag 2.67-2.73
Cu 0.7500 0.7500 0.8470  6 Cu 2.61-2.87, 5 Ag 2.67-2.73
Ag 0.2500 0.2500 0.3306  5 Cu 2.67-2.73, 6 Ag 2.87
Ag 0.2500 0.2500 0.5564  10 Ag 2.87, 1 Cu 3.16
Ag 0.2500 0.2500 0.9437  5 Cu 2.67-2.73, 6 Ag 2.86-2.87
Ag 0.7500 0.7500 0.0563  5 Cu 2.67-2.73, 6 Ag 2.86-2.87
Ag 0.7500 0.7500 0.4436  10 Ag 2.87, 1 Cu 3.16
Ag 0.7500 0.7500 0.6694  5 Cu 2.67-2.73, 6 Ag 2.87

## Properties
- Space-group type: Pmmn (59)
- E: -3.1024 eV per atom
- Excess energy over the best structure of this formula in the dataset: 0.047 eV per atom
- ΔH_f (0 K): 0.08 eV per atom